Entry from the Open Quantum Materials Database: a relaxed structure of CsHfAs (GGA-PBE).

Cell lengths 4.9475, 4.9475, 4.9475 Å; angles 60.00, 60.00, 60.00 degrees
Positions (direct):
As: 0.2500 0.2500 0.2500
Cs: 0.7500 0.7500 0.7500
Hf: 0.0000 0.0000 0.0000

Output
- ΔE to the lowest computed polymorph (meV/atom) = 0
- SG = F-43m (216)
- volume (Å³/cell) = 85.6



Entry from the Open Quantum Materials Database: a relaxed structure of CsHfAs (GGA-PBE).

Cell lengths 5.0768, 5.0768, 5.0768 Å; angles 60.00, 60.00, 60.00 degrees
Positions (direct):
As: 0.0000 0.0000 0.0000
Cs: 0.2500 0.2500 0.2500
Hf: 0.7500 0.7500 0.7500

Output
- ΔE to the lowest computed polymorph (meV/atom) = 81
- SG = F-43m (216)
- volume (Å³/cell) = 92.5



Entry from the Open Quantum Materials Database: a relaxed structure of CsKHg2SbAs (GGA-PBE).

Cell lengths 4.8003, 4.8003, 11.0357 Å; angles 90.00, 90.00, 120.00 degrees
Positions (direct):
As: 0.0000 0.0000 0.7657
Cs: 0.6667 0.3333 0.5109
Hg: 0.0000 0.0000 0.2194
Hg: 0.3333 0.6667 0.7747
K: 0.6667 0.3333 0.9909
Sb: 0.3333 0.6667 0.2383

Output
- SG = P3m1 (156)
- volume (Å³/cell) = 220.2



Entry from the Open Quantum Materials Database: a relaxed structure of Cs2Hg2AsP (GGA-PBE).

Cell lengths 4.7713, 4.7713, 8.6788 Å; angles 90.00, 90.00, 90.00 degrees
Positions (direct):
As: 0.0000 0.0000 0.8180
Cs: 0.0000 0.0000 0.3369
Cs: 0.5000 0.5000 0.6601
Hg: 0.5000 0.0000 0.0042
Hg: 0.0000 0.5000 0.0042
P: 0.5000 0.5000 0.1765

Output
- SG = P4mm (99)
- volume (Å³/cell) = 197.6



Values of total energy, in order: -13.20 -12.96 -13.47 -13.46, all in eV/cell.